Entry 1:
First-principles (PBE) data for crystalline Ta2Fe2Au at its relaxed geometry, as listed in Alexandria via LeMat-Bulk.

Summary:
* polymorph energy (0 for the lowest one): 0.339 eV/atom
* magnetic moment: 0.00 μB per formula unit

Cell: 5.671 5.671 5.671 Å, 137.38 137.38 61.86°
Positions (direct):
Ta 0.250 0.750 0.500
Ta 0.750 0.250 0.500
Fe 0.612 0.612 0.000
Fe 0.388 0.388 0.000
Au 0.000 0.000 0.000

Entry 2:
First-principles (PBE) data for crystalline HfTl2I4Cl2 at its relaxed geometry, as listed in Alexandria via LeMat-Bulk.

Summary:
* ΔE_f (raw): -1045 meV per atom
* magnetic moment: 0.00 μB per formula unit

Cell: 8.069 7.875 7.875 Å, 62.76 58.80 58.80°
Positions (direct):
Hf 0.500 0.000 0.000
Tl 0.251 0.758 0.758
Tl 0.749 0.242 0.242
I 0.298 0.708 0.204
I 0.702 0.796 0.292
I 0.702 0.292 0.796
I 0.298 0.204 0.708
Cl 0.206 0.220 0.220
Cl 0.794 0.780 0.780

Entry 3:
First-principles (PBE) data for crystalline Tc2AgRu at its relaxed geometry, as listed in Alexandria via LeMat-Bulk.

Summary:
* polymorph energy (0 for the lowest one): 0.000 eV/atom
* magnetic moment: 0.00 μB per formula unit

Cell: 9.391 9.391 9.391 Å, 16.87 16.87 16.87°
Positions (direct):
Ag 0.500 0.500 0.500
Ru 0.744 0.744 0.744
Tc 0.000 0.000 0.000
Tc 0.256 0.256 0.256

Entry 4:
First-principles (PBE) data for crystalline Ac4Zn3Rh2 at its relaxed geometry, as listed in Alexandria via LeMat-Bulk.

Summary:
* magnetic moment: 0.00 μB per formula unit
* DFT total energy: -4.303 eV/atom

Cell: 4.175 7.539 8.636 Å, 110.36 103.99 90.00°
Positions (direct):
Ac 0.229 0.699 0.458
Ac 0.771 0.301 0.542
Ac 0.566 0.858 0.133
Ac 0.434 0.142 0.867
Zn 0.098 0.240 0.197
Zn 0.902 0.760 0.803
Zn 0.000 0.500 0.000
Rh 0.393 0.538 0.787
Rh 0.607 0.462 0.213

Entry 5:
First-principles (PBE) data for crystalline AlZnRuAu at its relaxed geometry, as listed in Alexandria via LeMat-Bulk.

Summary:
* magnetic moment: 0.00 μB per formula unit
* DFT total energy: -4.671 eV/atom

Cell: 4.360 4.360 4.360 Å, 60.00 60.00 60.00°
Positions (direct):
Ru 0.000 0.000 0.000
Zn 0.750 0.750 0.750
Au 0.500 0.500 0.500
Al 0.250 0.250 0.250

Entry 6:
First-principles (PBE) data for crystalline Tb2MgGa4Cu3 at its relaxed geometry, as listed in Alexandria via LeMat-Bulk.

Summary:
* magnetic moment: 0.00 μB per formula unit
* DFT total energy: -3.945 eV/atom

Cell: 4.086 4.086 10.943 Å, 90.00 90.00 90.00°
Positions (direct):
Tb 0.500 0.000 0.233
Tb 0.000 0.500 0.767
Mg 0.500 0.500 0.500
Ga 0.500 0.500 0.000
Ga 0.000 0.000 0.000
Ga 0.500 0.000 0.655
Ga 0.000 0.500 0.345
Cu 0.000 0.000 0.500
Cu 0.500 0.000 0.872
Cu 0.000 0.500 0.128

Entry 7:
First-principles (PBE) data for crystalline CaPSe2 at its relaxed geometry, as listed in Alexandria via LeMat-Bulk.

Summary:
* ΔE_f (raw): -559 meV per atom
* magnetic moment: 0.00 μB per formula unit

Cell: 4.964 4.964 4.959 Å, 70.53 70.53 109.43°
Positions (direct):
Ca 0.500 0.000 0.500
P 0.000 0.500 0.500
Se 0.000 0.000 0.000
Se 0.500 0.500 0.000

Entry 8:
First-principles (PBE) data for crystalline ScAlTl4 at its relaxed geometry, as listed in Alexandria via LeMat-Bulk.

Summary:
* magnetic moment: 0.00 μB per formula unit
* DFT total energy: -2.899 eV/atom

Cell: 6.206 6.206 6.206 Å, 60.00 60.00 60.00°
Positions (direct):
Sc 0.000 0.000 0.000
Al 0.750 0.750 0.750
Tl 0.875 0.375 0.375
Tl 0.375 0.375 0.875
Tl 0.375 0.875 0.375
Tl 0.375 0.375 0.375

Entry 9:
First-principles (PBE) data for crystalline BaScIn2Ni at its relaxed geometry, as listed in Alexandria via LeMat-Bulk.

Summary:
* magnetic moment: 0.00 μB per formula unit
* DFT total energy: -3.796 eV/atom

Cell: 5.698 4.713 5.698 Å, 90.00 90.00 90.00°
Positions (direct):
Sc 0.000 0.000 0.000
Ni 0.000 0.500 0.000
Ba 0.500 0.500 0.500
In 0.000 0.000 0.500
In 0.500 0.000 0.000

Entry 10:
First-principles (PBE) data for crystalline MnNbTe2 at its relaxed geometry, as listed in Alexandria via LeMat-Bulk.

Summary:
* ΔE_f (raw): 582 meV per atom
* polymorph energy (0 for the lowest one): 0.914 eV/atom
* magnetic moment: 0.00 μB per formula unit

Cell: 6.233 6.233 7.067 Å, 63.83 63.83 90.00°
Positions (direct):
Nb 0.000 0.000 0.000
Nb 0.750 0.250 0.500
Te 0.591 0.125 0.250
Te 0.159 0.625 0.250
Te 0.375 0.409 0.750
Te 0.875 0.841 0.750
Mn 0.500 0.500 0.000
Mn 0.250 0.750 0.500

Entry 11:
First-principles (PBE) data for crystalline Sm12In6Ir at its relaxed geometry, as listed in Alexandria via LeMat-Bulk.

Summary:
* magnetic moment: 0.00 μB per formula unit
* DFT total energy: -4.573 eV/atom

Cell: 8.448 8.448 8.448 Å, 93.85 93.85 93.85°
Positions (direct):
Sm 0.799 0.568 0.452
Sm 0.452 0.799 0.568
Sm 0.568 0.452 0.799
Sm 0.201 0.432 0.548
Sm 0.548 0.201 0.432
Sm 0.432 0.548 0.201
Sm 0.979 0.094 0.320
Sm 0.906 0.680 0.021
Sm 0.680 0.021 0.906
Sm 0.021 0.906 0.680
Sm 0.094 0.320 0.979
Sm 0.320 0.979 0.094
In 0.661 0.864 0.269
In 0.731 0.339 0.136
In 0.136 0.731 0.339
In 0.339 0.136 0.731
In 0.269 0.661 0.864
In 0.864 0.269 0.661
Ir 0.000 0.000 0.000

Entry 12:
First-principles (PBE) data for crystalline ScTlAs2 at its relaxed geometry, as listed in Alexandria via LeMat-Bulk.

Summary:
* polymorph energy (0 for the lowest one): 0.000 eV/atom
* magnetic moment: 0.00 μB per formula unit

Cell: 3.646 3.658 7.938 Å, 62.35 90.00 90.00°
Positions (direct):
As 0.000 0.931 0.069
As 0.000 0.569 0.431
Sc 0.500 0.250 0.250
Tl 0.500 0.750 0.750

Entry 13:
First-principles (PBE) data for crystalline V7S8 at its relaxed geometry, as listed in Alexandria via LeMat-Bulk.

Summary:
* ΔE_f (raw): -928 meV per atom
* polymorph energy (0 for the lowest one): 0.000 eV/atom
* magnetic moment: 0.43 μB per formula unit

Cell: 6.556 6.556 17.676 Å, 90.00 90.00 120.00°
Each line ends with the local moment (μB).
Positions (direct):
V 0.522 0.982 0.164  -0.51
V 0.052 0.000 0.500  0.20
V 0.460 0.478 0.830  -0.51
V 0.948 0.948 0.167  0.20
V 0.540 0.018 0.836  -0.51
V 0.478 0.460 0.503  -0.51
V 0.518 0.003 0.332  1.26
V 0.981 0.981 0.667  -1.43
V 0.485 0.482 0.999  1.26
V 0.019 0.000 0.000  -1.43
V 0.515 0.997 0.668  1.26
V 0.482 0.485 0.335  1.26
V 0.982 0.522 0.170  -0.51
V 0.018 0.540 0.497  -0.51
V 0.000 0.450 0.833  0.13
V 0.997 0.515 0.665  1.26
V 0.003 0.518 0.001  1.26
V 0.000 0.019 0.333  -1.43
V 0.550 0.550 0.167  0.13
V 0.450 0.000 0.500  0.13
V 0.000 0.052 0.833  0.20
S 0.336 0.164 0.244  -0.01
S 0.338 0.172 0.593  0.00
S 0.335 0.157 0.914  0.00
S 0.662 0.834 0.073  0.00
S 0.665 0.822 0.753  0.00
S 0.664 0.828 0.423  -0.01
S 0.166 0.828 0.407  0.00
S 0.172 0.338 0.740  0.00
S 0.663 0.332 0.084  -0.01
S 0.828 0.166 0.927  0.00
S 0.337 0.669 0.583  -0.01
S 0.834 0.662 0.260  0.00
S 0.172 0.836 0.756  -0.01
S 0.164 0.336 0.089  -0.01
S 0.668 0.331 0.417  -0.01
S 0.836 0.172 0.577  -0.01
S 0.332 0.663 0.249  -0.01
S 0.828 0.664 0.911  -0.01
S 0.178 0.843 0.086  0.00
S 0.157 0.335 0.419  0.00
S 0.669 0.337 0.751  -0.01
S 0.843 0.178 0.247  0.00
S 0.331 0.668 0.916  -0.01
S 0.822 0.665 0.581  0.00

Entry 14:
First-principles (PBE) data for crystalline SmDy2As at its relaxed geometry, as listed in Alexandria via LeMat-Bulk.

Summary:
* magnetic moment: 0.00 μB per formula unit
* DFT total energy: -5.252 eV/atom

Cell: 3.854 3.854 9.729 Å, 78.57 78.57 60.00°
Positions (direct):
As 0.000 0.000 0.000
Sm 0.500 0.500 0.500
Dy 0.272 0.272 0.183
Dy 0.728 0.728 0.817

Entry 15:
First-principles (PBE) data for crystalline ScMoP2Cl at its relaxed geometry, as listed in Alexandria via LeMat-Bulk.

Summary:
* ΔE_f (raw): 19 meV per atom
* polymorph energy (0 for the lowest one): 0.000 eV/atom
* magnetic moment: 0.69 μB per formula unit

Cell: 4.645 4.645 4.922 Å, 90.00 90.00 90.00°
Each line ends with the local moment (μB).
Positions (direct):
Sc 0.500 0.500 0.500  0.43
P 0.000 0.500 0.000  -0.01
P 0.500 0.000 0.000  -0.01
Mo 0.000 0.000 0.000  0.12
Cl 0.000 0.000 0.500  -0.01

Entry 16:
First-principles (PBE) data for crystalline LiFe2Hg at its relaxed geometry, as listed in Alexandria via LeMat-Bulk.

Summary:
* magnetic moment: 5.13 μB per formula unit
* DFT total energy: -4.488 eV/atom

Cell: 4.656 2.726 4.640 Å, 82.57 90.00 90.00°
Each line ends with the local moment (μB).
Positions (direct):
Fe 0.000 0.979 0.984  2.67
Fe 0.000 0.521 0.516  2.67
Hg 0.500 0.250 0.250  -0.06
Li 0.500 0.750 0.750  -0.05

Entry 17:
First-principles (PBE) data for crystalline AcCeAu4 at its relaxed geometry, as listed in Alexandria via LeMat-Bulk.

Summary:
* polymorph energy (0 for the lowest one): 0.021 eV/atom
* magnetic moment: 1.12 μB per formula unit

Cell: 3.740 4.848 8.302 Å, 90.00 90.00 90.00°
Each line ends with the local moment (μB).
Positions (direct):
Ac 0.999 0.497 0.998  0.01
Ce 0.999 0.997 0.498  0.90
Au 0.499 0.997 0.170  0.01
Au 0.499 0.997 0.827  0.01
Au 0.499 0.497 0.663  0.00
Au 0.499 0.497 0.334  0.00

Entry 18:
First-principles (PBE) data for crystalline CsK4Ag3F12 at its relaxed geometry, as listed in Alexandria via LeMat-Bulk.

Summary:
* ΔE_f (raw): -1993 meV per atom
* magnetic moment: 2.01 μB per formula unit

Cell: 8.068 8.068 8.068 Å, 109.47 109.47 109.47°
Each line ends with the local moment (μB).
Positions (direct):
Cs 0.000 0.000 0.000  0.00
K 0.500 0.000 0.000  0.00
K 0.500 0.500 0.500  0.00
K 0.000 0.500 0.000  0.00
K 0.000 0.000 0.500  0.00
Ag 0.000 0.500 0.500  0.33
Ag 0.500 0.500 0.000  0.33
Ag 0.500 0.000 0.500  0.33
F 0.337 0.850 0.187  0.08
F 0.663 0.150 0.813  0.08
F 0.663 0.850 0.513  0.08
F 0.813 0.663 0.150  0.08
F 0.850 0.187 0.337  0.08
F 0.150 0.487 0.337  0.08
F 0.487 0.337 0.150  0.08
F 0.150 0.813 0.663  0.08
F 0.337 0.150 0.487  0.08
F 0.187 0.337 0.850  0.08
F 0.850 0.513 0.663  0.08
F 0.513 0.663 0.850  0.08

Entry 19:
First-principles (PBE) data for crystalline HgWS2N at its relaxed geometry, as listed in Alexandria via LeMat-Bulk.

Summary:
* ΔE_f (raw): 156 meV per atom
* polymorph energy (0 for the lowest one): 0.000 eV/atom
* magnetic moment: 0.00 μB per formula unit

Cell: 4.871 4.871 3.848 Å, 90.00 90.00 90.00°
Positions (direct):
S 0.000 0.500 0.000
S 0.500 0.000 0.000
Hg 0.500 0.500 0.500
W 0.000 0.000 0.000
N 0.000 0.000 0.500

Entry 20:
First-principles (PBE) data for crystalline Dy4SiSe2Br at its relaxed geometry, as listed in Alexandria via LeMat-Bulk.

Summary:
* ΔE_f (raw): -1374 meV per atom
* magnetic moment: 0.00 μB per formula unit

Cell: 4.100 7.061 7.244 Å, 71.03 90.00 90.00°
Positions (direct):
Dy 0.000 0.761 0.718
Dy 0.000 0.239 0.282
Dy 0.500 0.741 0.275
Dy 0.500 0.259 0.725
Si 0.000 0.500 0.500
Se 0.000 0.000 0.000
Se 0.500 0.000 0.500
Br 0.500 0.500 0.000